[1]
# Sr2TlBiO4 (PBE, relaxed)
# Space group: Imma
# E_tot, eV/atom: -5.406
# Crystal system: orthorhombic
# Energy relative to the elements, uncorrected, kJ/mol of atoms: -166
data_Sr2TlBiO4
_chemical_formula_sum 'Sr4 Tl2 Bi2 O8'
_cell_length_a 7.4030
_cell_length_b 7.4030
_cell_length_c 7.4030
_cell_angle_alpha 120.00
_cell_angle_beta 119.51
_cell_angle_gamma 90.43
_symmetry_space_group_name_H-M 'P 1'
_symmetry_Int_Tables_number 1
_symmetry_space_group_name_Hall 'P 1'
loop_
_atom_site_label
_atom_site_type_symbol
_atom_site_fract_x
_atom_site_fract_y
_atom_site_fract_z
Sr1 Sr 0.0000 0.0000 0.0000
Sr2 Sr 0.5000 0.0000 0.0000
Sr3 Sr 0.5000 0.0000 0.5000
Sr4 Sr 0.5000 0.5000 0.5000
Tl1 Tl 0.0000 0.0000 0.5000
Tl2 Tl 0.0000 0.5000 0.0000
Bi1 Bi 0.0000 0.5000 0.5000
Bi2 Bi 0.5000 0.5000 0.0000
O1 O 0.2621 0.2679 0.5058
O2 O 0.2622 0.7336 0.5286
O3 O 0.2621 0.7562 0.9942
O4 O 0.2950 0.2664 0.0286
O5 O 0.7050 0.7336 0.9714
O6 O 0.7379 0.2438 0.0058
O7 O 0.7378 0.2664 0.4714
O8 O 0.7379 0.7321 0.4942

[2]
# Sr2TlBiO5 (PBE, relaxed)
# Space group: Cmc2_1
# E_tot, eV/atom: -5.515
# Crystal system: orthorhombic
# Energy relative to the elements, uncorrected, kJ/mol of atoms: -163
data_Sr2TlBiO5
_chemical_formula_sum 'Sr4 Tl2 Bi2 O10'
_cell_length_a 8.0304
_cell_length_b 8.0304
_cell_length_c 10.5445
_cell_angle_alpha 90.00
_cell_angle_beta 90.00
_cell_angle_gamma 153.81
_symmetry_space_group_name_H-M 'P 1'
_symmetry_Int_Tables_number 1
_symmetry_space_group_name_Hall 'P 1'
loop_
_atom_site_label
_atom_site_type_symbol
_atom_site_fract_x
_atom_site_fract_y
_atom_site_fract_z
Sr1 Sr 0.1184 0.8816 0.5000
Sr2 Sr 0.1326 0.8674 0.0942
Sr3 Sr 0.8674 0.1326 0.5942
Sr4 Sr 0.8816 0.1184 0.0000
Tl1 Tl 0.2267 0.7733 0.8196
Tl2 Tl 0.7733 0.2267 0.3196
Bi1 Bi 0.4653 0.5347 0.2732
Bi2 Bi 0.5347 0.4653 0.7732
O1 O 0.0862 0.9138 0.8664
O2 O 0.2753 0.7247 0.4733
O3 O 0.3334 0.6666 0.1853
O4 O 0.3640 0.6360 0.7927
O5 O 0.4978 0.5022 0.0685
O6 O 0.5022 0.4978 0.5685
O7 O 0.6360 0.3640 0.2927
O8 O 0.6666 0.3334 0.6853
O9 O 0.7247 0.2753 0.9733
O10 O 0.9138 0.0862 0.3664

[3]
# SrTmBi2O6 (PBE, relaxed)
# Space group: R3
# E_tot, eV/atom: -6.448
# Crystal system: trigonal
# Energy relative to the elements, uncorrected, kJ/mol of atoms: -201
data_SrTmBi2O6
_chemical_formula_sum 'Sr1 Tm1 Bi2 O6'
_cell_length_a 6.3053
_cell_length_b 6.3053
_cell_length_c 6.3053
_cell_angle_alpha 56.48
_cell_angle_beta 56.48
_cell_angle_gamma 56.48
_symmetry_space_group_name_H-M 'P 1'
_symmetry_Int_Tables_number 1
_symmetry_space_group_name_Hall 'P 1'
loop_
_atom_site_label
_atom_site_type_symbol
_atom_site_fract_x
_atom_site_fract_y
_atom_site_fract_z
Sr1 Sr 0.0000 0.0000 0.0000
Tm1 Tm 0.5137 0.5137 0.5137
Bi1 Bi 0.2174 0.2174 0.2174
Bi2 Bi 0.7248 0.7248 0.7248
O1 O 0.1301 0.4251 0.8131
O2 O 0.3578 0.9130 0.5745
O3 O 0.4251 0.8131 0.1301
O4 O 0.5745 0.3578 0.9130
O5 O 0.8131 0.1301 0.4251
O6 O 0.9130 0.5745 0.3578

[4]
# Sr2UBiO6 (PBE, relaxed)
# Space group: P4mm
# E_tot, eV/atom: -7.360
# Crystal system: tetragonal
# Energy relative to the elements, uncorrected, kJ/mol of atoms: -244
data_Sr2UBiO6
_chemical_formula_sum 'Sr2 U1 Bi1 O6'
_cell_length_a 6.2282
_cell_length_b 6.2282
_cell_length_c 4.5672
_cell_angle_alpha 90.00
_cell_angle_beta 90.00
_cell_angle_gamma 90.00
_symmetry_space_group_name_H-M 'P 1'
_symmetry_Int_Tables_number 1
_symmetry_space_group_name_Hall 'P 1'
loop_
_atom_site_label
_atom_site_type_symbol
_atom_site_fract_x
_atom_site_fract_y
_atom_site_fract_z
Sr1 Sr 0.0000 0.5000 0.0000
Sr2 Sr 0.5000 0.0000 0.0000
U1 U 0.0000 0.0000 0.6187
Bi1 Bi 0.5000 0.5000 0.5927
O1 O 0.0000 0.0000 0.1324
O2 O 0.2369 0.2369 0.6731
O3 O 0.2369 0.7631 0.6731
O4 O 0.5000 0.5000 0.0897
O5 O 0.7631 0.2369 0.6731
O6 O 0.7631 0.7631 0.6731

[5]
# SrUBi2O8 (PBE, relaxed)
# Space group: Cmmm
# E_tot, eV/atom: -7.078
# Crystal system: orthorhombic
# Energy relative to the elements, uncorrected, kJ/mol of atoms: -197
data_SrUBi2O8
_chemical_formula_sum 'Sr1 U1 Bi2 O8'
_cell_length_a 5.2417
_cell_length_b 5.2417
_cell_length_c 7.1546
_cell_angle_alpha 90.00
_cell_angle_beta 90.00
_cell_angle_gamma 91.43
_symmetry_space_group_name_H-M 'P 1'
_symmetry_Int_Tables_number 1
_symmetry_space_group_name_Hall 'P 1'
loop_
_atom_site_label
_atom_site_type_symbol
_atom_site_fract_x
_atom_site_fract_y
_atom_site_fract_z
Sr1 Sr 0.0000 0.0000 0.0000
U1 U 0.0000 0.0000 0.5000
Bi1 Bi 0.5000 0.5000 0.2502
Bi2 Bi 0.5000 0.5000 0.7498
O1 O 0.1882 0.1882 0.2903
O2 O 0.1882 0.1882 0.7097
O3 O 0.2990 0.7010 0.5000
O4 O 0.3250 0.6750 0.0000
O5 O 0.6750 0.3250 0.0000
O6 O 0.7010 0.2990 0.5000
O7 O 0.8118 0.8118 0.2903
O8 O 0.8118 0.8118 0.7097

Copy entry 2 word for word.
# Sr2TlBiO5 (PBE, relaxed)
# Space group: Cmc2_1
# E_tot, eV/atom: -5.515
# Crystal system: orthorhombic
# Energy relative to the elements, uncorrected, kJ/mol of atoms: -163
data_Sr2TlBiO5
_chemical_formula_sum 'Sr4 Tl2 Bi2 O10'
_cell_length_a 8.0304
_cell_length_b 8.0304
_cell_length_c 10.5445
_cell_angle_alpha 90.00
_cell_angle_beta 90.00
_cell_angle_gamma 153.81
_symmetry_space_group_name_H-M 'P 1'
_symmetry_Int_Tables_number 1
_symmetry_space_group_name_Hall 'P 1'
loop_
_atom_site_label
_atom_site_type_symbol
_atom_site_fract_x
_atom_site_fract_y
_atom_site_fract_z
Sr1 Sr 0.1184 0.8816 0.5000
Sr2 Sr 0.1326 0.8674 0.0942
Sr3 Sr 0.8674 0.1326 0.5942
Sr4 Sr 0.8816 0.1184 0.0000
Tl1 Tl 0.2267 0.7733 0.8196
Tl2 Tl 0.7733 0.2267 0.3196
Bi1 Bi 0.4653 0.5347 0.2732
Bi2 Bi 0.5347 0.4653 0.7732
O1 O 0.0862 0.9138 0.8664
O2 O 0.2753 0.7247 0.4733
O3 O 0.3334 0.6666 0.1853
O4 O 0.3640 0.6360 0.7927
O5 O 0.4978 0.5022 0.0685
O6 O 0.5022 0.4978 0.5685
O7 O 0.6360 0.3640 0.2927
O8 O 0.6666 0.3334 0.6853
O9 O 0.7247 0.2753 0.9733
O10 O 0.9138 0.0862 0.3664

Please write out number 5 again, unchanged.
# SrUBi2O8 (PBE, relaxed)
# Space group: Cmmm
# E_tot, eV/atom: -7.078
# Crystal system: orthorhombic
# Energy relative to the elements, uncorrected, kJ/mol of atoms: -197
data_SrUBi2O8
_chemical_formula_sum 'Sr1 U1 Bi2 O8'
_cell_length_a 5.2417
_cell_length_b 5.2417
_cell_length_c 7.1546
_cell_angle_alpha 90.00
_cell_angle_beta 90.00
_cell_angle_gamma 91.43
_symmetry_space_group_name_H-M 'P 1'
_symmetry_Int_Tables_number 1
_symmetry_space_group_name_Hall 'P 1'
loop_
_atom_site_label
_atom_site_type_symbol
_atom_site_fract_x
_atom_site_fract_y
_atom_site_fract_z
Sr1 Sr 0.0000 0.0000 0.0000
U1 U 0.0000 0.0000 0.5000
Bi1 Bi 0.5000 0.5000 0.2502
Bi2 Bi 0.5000 0.5000 0.7498
O1 O 0.1882 0.1882 0.2903
O2 O 0.1882 0.1882 0.7097
O3 O 0.2990 0.7010 0.5000
O4 O 0.3250 0.6750 0.0000
O5 O 0.6750 0.3250 0.0000
O6 O 0.7010 0.2990 0.5000
O7 O 0.8118 0.8118 0.2903
O8 O 0.8118 0.8118 0.7097

- energy relative to the elements, uncorrected of number 2 (Sr2TlBiO5)?
  -163 kJ/mol of atoms